--- 1 ---
{
  "formula": "ZrSNCl2",
  "functional": "GGA-PBE",
  "state": "relaxed",
  "lattice_angstrom": [[-0.128, -1.623, -4.003], [2.835, -3.054, 1.147], [-3.226, -2.565, 1.144]],
  "species": ["S", "N", "Zr", "Cl", "Cl"],
  "fractional_positions": [[0.000, 0.000, 0.500], [0.000, 0.000, 0.000], [0.500, 0.500, 0.500], [0.000, 0.500, 0.000], [0.500, 0.000, 0.000]]
}



--- 2 ---
{
  "formula": "ZrSNCl2",
  "functional": "GGA-PBE",
  "state": "relaxed",
  "lattice_angstrom": [[-3.611, 0.657, -3.583], [-1.217, -4.973, 0.315], [-3.282, 1.024, 3.495]],
  "species": ["S", "N", "Zr", "Cl", "Cl"],
  "fractional_positions": [[0.000, 0.000, 0.500], [0.500, 0.500, 0.500], [0.000, 0.000, 0.000], [0.000, 0.500, 0.000], [0.500, 0.000, 0.000]]
}



2 takes first place; second place is 68.0 kJ/mol of atoms up.



--- 1 ---
{
  "formula": "SbNCl2",
  "functional": "GGA-PBE",
  "state": "relaxed",
  "lattice_angstrom": [[2.067, 0.000, 9.885], [-1.034, 1.790, 9.885], [-1.034, -1.790, 9.885]],
  "species": ["Sb", "N", "Cl", "Cl"],
  "fractional_positions": [[0.000, 0.000, 0.000], [0.500, 0.500, 0.500], [0.918, 0.918, 0.918], [0.082, 0.082, 0.082]]
}



--- 2 ---
{
  "formula": "SbNCl2",
  "functional": "GGA-PBE",
  "state": "relaxed",
  "lattice_angstrom": [[4.173, -1.717, 1.595], [0.217, -2.199, 4.245], [0.718, -4.727, 0.213]],
  "species": ["Sb", "N", "Cl", "Cl"],
  "fractional_positions": [[0.500, 0.500, 0.500], [0.000, 0.000, 0.000], [0.250, 0.250, 0.250], [0.750, 0.750, 0.750]]
}



--- 3 ---
{
  "formula": "SbNCl2",
  "functional": "GGA-PBE",
  "state": "relaxed",
  "lattice_angstrom": [[6.264, 0.000, 0.000], [0.000, 6.264, 0.000], [3.132, 3.132, 4.497]],
  "species": ["Sb", "Sb", "N", "N", "Cl", "Cl", "Cl", "Cl"],
  "fractional_positions": [[0.000, 0.000, 0.000], [0.750, 0.250, 0.500], [0.500, 0.500, 0.000], [0.250, 0.750, 0.500], [0.375, 0.125, 0.250], [0.375, 0.625, 0.250], [0.375, 0.625, 0.750], [0.875, 0.625, 0.750]]
}



--- 4 ---
{
  "formula": "SbNCl2",
  "functional": "GGA-PBE",
  "state": "relaxed",
  "lattice_angstrom": [[2.002, 0.000, 8.637], [-1.001, 1.734, 8.637], [-1.001, -1.734, 8.637]],
  "species": ["Sb", "N", "Cl", "Cl"],
  "fractional_positions": [[0.500, 0.500, 0.500], [0.000, 0.000, 0.000], [0.920, 0.920, 0.920], [0.080, 0.080, 0.080]]
}



2 takes first place; second place is 4.8 kJ/mol of atoms up.



--- 1 ---
{
  "formula": "SbSe2NCl",
  "functional": "GGA-PBE",
  "state": "relaxed",
  "lattice_angstrom": [[-2.930, -2.609, -3.877], [0.115, -4.615, 3.019], [-3.374, 1.100, 1.810]],
  "species": ["Sb", "N", "Se", "Se", "Cl"],
  "fractional_positions": [[0.000, 0.000, 0.000], [0.000, 0.000, 0.500], [0.000, 0.500, 0.000], [0.500, 0.000, 0.000], [0.500, 0.500, 0.500]]
}



--- 2 ---
{
  "formula": "SbSe2NCl",
  "functional": "GGA-PBE",
  "state": "relaxed",
  "lattice_angstrom": [[5.157, 0.000, 0.000], [0.000, 5.157, 0.000], [0.000, 0.000, 3.828]],
  "species": ["Sb", "N", "Se", "Se", "Cl"],
  "fractional_positions": [[0.500, 0.500, 0.500], [0.000, 0.000, 0.500], [0.000, 0.500, 0.000], [0.500, 0.000, 0.000], [0.000, 0.000, 0.000]]
}



1 takes first place; second place is 30.2 kJ/mol of atoms up.



--- 1 ---
{
  "formula": "SbTe2NCl",
  "functional": "GGA-PBE",
  "state": "relaxed",
  "lattice_angstrom": [[4.741, 0.000, 0.000], [0.000, 4.741, 0.000], [0.000, 0.000, 5.053]],
  "species": ["Sb", "N", "Te", "Te", "Cl"],
  "fractional_positions": [[0.000, 0.000, 0.500], [0.000, 0.000, 0.000], [0.000, 0.500, 0.000], [0.500, 0.000, 0.000], [0.500, 0.500, 0.500]]
}



--- 2 ---
{
  "formula": "SbTe2NCl",
  "functional": "GGA-PBE",
  "state": "relaxed",
  "lattice_angstrom": [[-2.443, 3.167, -4.434], [-0.282, -4.926, -3.363], [-3.538, -0.758, 1.408]],
  "species": ["Sb", "N", "Te", "Te", "Cl"],
  "fractional_positions": [[0.000, 0.000, 0.000], [0.000, 0.000, 0.500], [0.000, 0.500, 0.000], [0.500, 0.000, 0.000], [0.500, 0.500, 0.500]]
}



--- 3 ---
{
  "formula": "SbTe2NCl",
  "functional": "GGA-PBE",
  "state": "relaxed",
  "lattice_angstrom": [[-4.699, -0.273, 4.455], [-0.910, -6.275, -1.343], [2.194, -0.803, 2.265]],
  "species": ["Sb", "N", "Te", "Te", "Cl"],
  "fractional_positions": [[0.500, 0.500, 0.500], [0.000, 0.000, 0.500], [0.000, 0.500, 0.000], [0.500, 0.000, 0.000], [0.000, 0.000, 0.000]]
}



1 takes first place; second place is 23.2 kJ/mol of atoms up.



--- 1 ---
{
  "formula": "ScNCl3",
  "functional": "GGA-PBE",
  "state": "relaxed",
  "lattice_angstrom": [[-2.790, 3.358, 0.974], [-1.104, -2.029, 3.831], [3.318, 2.149, 2.094]],
  "species": ["Sc", "N", "Cl", "Cl", "Cl"],
  "fractional_positions": [[0.500, 0.500, 0.500], [0.000, 0.000, 0.000], [0.000, 0.500, 0.000], [0.000, 0.000, 0.500], [0.500, 0.000, 0.000]]
}



--- 2 ---
{
  "formula": "ScNCl3",
  "functional": "GGA-PBE",
  "state": "relaxed",
  "lattice_angstrom": [[4.819, 1.137, -0.683], [3.139, 8.304, -0.609], [-0.711, -0.581, 8.797]],
  "species": ["Sc", "Sc", "N", "N", "Cl", "Cl", "Cl", "Cl", "Cl", "Cl"],
  "fractional_positions": [[0.933, 0.400, 0.527], [0.435, 0.900, 0.527], [0.612, 0.402, 0.970], [0.756, 0.898, 0.084], [0.113, 0.141, 0.329], [0.255, 0.159, 0.725], [0.433, 0.400, 0.526], [0.613, 0.642, 0.329], [0.935, 0.900, 0.529], [0.756, 0.658, 0.725]]
}



2 takes first place; second place is 91.6 kJ/mol of atoms up.



--- 1 ---
{
  "formula": "ScSe2NCl",
  "functional": "GGA-PBE",
  "state": "relaxed",
  "lattice_angstrom": [[4.913, 0.000, 0.000], [0.000, 4.913, 0.000], [0.000, 0.000, 3.843]],
  "species": ["Sc", "N", "Se", "Se", "Cl"],
  "fractional_positions": [[0.500, 0.500, 0.500], [0.000, 0.000, 0.500], [0.000, 0.500, 0.000], [0.500, 0.000, 0.000], [0.000, 0.000, 0.000]]
}



--- 2 ---
{
  "formula": "ScSe2NCl",
  "functional": "GGA-PBE",
  "state": "relaxed",
  "lattice_angstrom": [[-0.846, 2.531, -4.520], [-5.130, 0.228, 1.087], [0.562, 3.579, 1.899]],
  "species": ["Sc", "N", "Se", "Se", "Cl"],
  "fractional_positions": [[0.000, 0.000, 0.000], [0.000, 0.000, 0.500], [0.000, 0.500, 0.000], [0.500, 0.000, 0.000], [0.500, 0.500, 0.500]]
}



2 takes first place; second place is 43.4 kJ/mol of atoms up.